Computed, not measured: crystalline Pm4Nd8Mg at its relaxed geometry at the PBE-GGA level of DFT.

CIF file:
```
data_Pm4Nd8Mg
_space_group_name_H-M_alt 'R -3 m'
_space_group_IT_number 166
_space_group_name_Hall '-R 3 2"'
_cell_length_a 7.3110
_cell_length_b 7.3110
_cell_length_c 29.7733
_cell_angle_alpha 90.00
_cell_angle_beta 90.00
_cell_angle_gamma 120.00
loop_
_atom_site_label
_atom_site_type_symbol
_atom_site_fract_x
_atom_site_fract_y
_atom_site_fract_z
Pm1 Pm 0.0000 0.0000 0.0000
Pm2 Pm 0.0000 0.5000 0.0000
Nd1 Nd 0.0000 0.0000 0.2147
Nd2 Nd 0.0181 0.5090 0.7629
Mg1 Mg 0.0000 0.0000 0.5000
```

Calculated values
DFT formation energy = 0.161 eV/atom
Calculated volume = 459 Å³/f.u.